A relaxed structure of Sc2NbCu. Source: the Alexandria database, functional GGA-PBE.

Summary:
mass density	5.22	g/cm³
magnetic moment	0.0000	μB/atom
SG	I-42d, No. 122
calculated formation energy	0.307	eV/atom

abc: 5.960 5.960 5.960
angles: 103.42 103.42 122.41
Element x y z (fractional)
Sc (0.089, 0.625, 0.964)
Sc (0.375, 0.339, 0.464)
Sc (0.661, 0.125, 0.036)
Sc (0.875, 0.911, 0.536)
Nb (0.250, 0.750, 0.500)
Nb (0.500, 0.500, 0.000)
Cu (0.000, 0.000, 0.000)
Cu (0.750, 0.250, 0.500)


A relaxed structure of Li2SmMg2Cd2. Source: the Alexandria database, functional GGA-PBE.

Summary:
mass density	4.76	g/cm³
magnetic moment	0.0000	μB/atom
SG	C2/m, No. 12
calculated formation energy	-0.134	eV/atom

abc: 4.881 4.881 7.916
angles: 108.04 108.04 60.17
Element x y z (fractional)
Li (0.229, 0.229, 0.182)
Li (0.771, 0.771, 0.818)
Sm (0.500, 0.500, 0.000)
Mg (0.356, 0.356, 0.569)
Mg (0.644, 0.644, 0.431)
Cd (0.081, 0.081, 0.743)
Cd (0.919, 0.919, 0.257)


> Among the records above, which one has the lowest mass density?

Li2SmMg2Cd2